(1)
A plane-wave DFT calculation with PBE-GGA was carried out for a relaxed SrScRuRh2 crystal.

Output
DFT total energy   -5.963 eV per atom

Cell: 4.8242 4.7814 4.8242 Å, 90.00 90.00 90.00°
Closest atoms and distances in Å follow each position.
Element x y z (fractional)
1 Rh 0.0000 0.0000 0.5000  2 Sc 2.41
2 Rh 0.5000 0.0000 0.0000  2 Sc 2.41
3 Ru 0.0000 0.5000 0.0000  2 Sc 2.39
4 Sc 0.0000 0.0000 0.0000  2 Ru 2.39, 4 Rh 2.41
5 Sr 0.5000 0.5000 0.5000  8 Rh 3.40, 4 Ru 3.41

=====

(2)
A plane-wave DFT calculation with PBE-GGA was carried out for a relaxed La4PmSm4 crystal.

Output
Energy above the lowest structure with this stoichiometry   3.86 eV/f.u.

Cell: 4.7843 4.7843 14.8340 Å, 99.74 99.74 87.16°
Closest atoms and distances in Å follow each position.
Element x y z (fractional)
1 Sm 0.3996 0.8803 0.2799  4 Sm 3.17-3.47, 3 La 3.26-3.41
2 Sm 0.1270 0.1270 0.7077  3 Sm 3.14-3.31, 1 Pm 3.18, 1 La 3.35
3 Sm 0.8803 0.3996 0.2799  4 Sm 3.17-3.47, 3 La 3.26-3.41
4 Sm 0.5807 0.5807 0.7077  3 Sm 3.14-3.31, 1 Pm 3.18, 1 La 3.35
5 Pm 0.9424 0.9424 0.8849  2 Sm 3.18
6 La 0.7581 0.7581 0.5161  2 Sm 3.35, 4 La 3.36-3.52
7 La 0.2359 0.2359 0.4718  2 Sm 3.26, 4 La 3.36-3.52
8 La 0.5380 0.0380 0.0760  4 La 3.30-3.47, 2 Sm 3.41, 2 Pm 3.65
9 La 0.0380 0.5380 0.0760  4 La 3.30-3.47, 2 Sm 3.41, 2 Pm 3.65

=====

(3)
A plane-wave DFT calculation with PBE-GGA was carried out for a relaxed Dy2Ga12Pt7 crystal.

Output
DFT total energy   -4.899 eV per atom

Cell: 3.9021 10.4370 10.4370 Å, 120.00 90.00 90.00°
Closest atoms and distances in Å follow each position.
Element x y z (fractional)
1 Pt 0.0000 0.2048 0.2714  7 Ga 2.54-2.73
2 Pt 0.5000 0.4502 0.0893  7 Ga 2.54-2.66
3 Pt 0.0000 0.7286 0.9334  7 Ga 2.54-2.73
4 Pt 0.5000 0.6391 0.5498  7 Ga 2.54-2.66
5 Pt 0.0000 0.3333 0.6667  9 Ga 2.58-2.78
6 Pt 0.0000 0.0666 0.7952  7 Ga 2.54-2.73
7 Pt 0.5000 0.9107 0.3609  7 Ga 2.54-2.66
8 Ga 0.0000 0.2725 0.0639  4 Pt 2.54-2.61
9 Ga 0.5000 0.3852 0.2936  4 Pt 2.54-2.66, 2 Ga 2.78
10 Ga 0.0000 0.4907 0.9518  4 Pt 2.58, 2 Ga 2.78
11 Ga 0.5000 0.2532 0.8032  5 Pt 2.65-2.78, 2 Ga 2.92
12 Ga 0.0000 0.0482 0.5389  4 Pt 2.58, 2 Ga 2.78
13 Ga 0.0000 0.9361 0.2087  4 Pt 2.54-2.61
14 Ga 0.0000 0.4611 0.5093  4 Pt 2.58, 2 Ga 2.78
15 Ga 0.0000 0.7913 0.7275  4 Pt 2.54-2.61
16 Ga 0.5000 0.5500 0.7468  5 Pt 2.65-2.78, 2 Ga 2.92
17 Ga 0.5000 0.9083 0.6148  4 Pt 2.54-2.66, 2 Ga 2.78
18 Ga 0.5000 0.7064 0.0917  4 Pt 2.54-2.66, 2 Ga 2.78
19 Ga 0.5000 0.1968 0.4500  5 Pt 2.65-2.78, 2 Ga 2.92
20 Dy 0.0000 0.6667 0.3333  6 Pt 3.11, 9 Ga 3.37-3.45
21 Dy 0.5000 0.0000 0.0000  6 Pt 3.22, 6 Ga 3.23

=====

(4)
A plane-wave DFT calculation with PBE-GGA was carried out for a relaxed Sr4BiO5 crystal.

Output
ΔE_f (raw)   -2.2498 eV/atom

Cell: 5.3916 6.3603 6.3603 Å, 79.65 64.92 64.92°
Closest atoms and distances in Å follow each position.
Element x y z (fractional)
1 O 0.5006 0.0000 0.0000  4 Sr 2.56, 2 Bi 2.69-2.70
2 O 0.1008 0.5969 0.2028  5 Sr 2.57-2.70, 1 Bi 2.60
3 O 0.9005 0.4031 0.7972  5 Sr 2.57-2.70, 1 Bi 2.60
4 O 0.3036 0.7972 0.5969  5 Sr 2.57-2.70, 1 Bi 2.60
5 O 0.6977 0.2028 0.4031  5 Sr 2.57-2.70, 1 Bi 2.60
6 Bi 0.0012 0.0000 0.0000  6 O 2.60-2.70
7 Sr 0.7989 0.8039 0.6013  6 O 2.56-2.70
8 Sr 0.4001 0.3987 0.8039  6 O 2.56-2.70
9 Sr 0.6028 0.6013 0.1961  6 O 2.56-2.70
10 Sr 0.2041 0.1961 0.3987  6 O 2.56-2.70

=====

(5)
A plane-wave DFT calculation with PBE-GGA was carried out for a relaxed Ho2AgOsC crystal.

Output
DFT total energy   -6.876 eV per atom

Cell: 3.8918 4.9733 4.9733 Å, 90.00 90.00 90.00°
Closest atoms and distances in Å follow each position.
Element x y z (fractional)
1 Ag 0.5000 0.5000 0.5000  8 Ho 3.16, 4 Os 3.52
2 Ho 0.0000 0.5000 0.0000  2 C 2.49
3 Ho 0.0000 0.0000 0.5000  2 C 2.49
4 C 0.0000 0.0000 0.0000  2 Os 1.95
5 Os 0.5000 0.0000 0.0000  2 C 1.95

=====

(6)
A plane-wave DFT calculation with PBE-GGA was carried out for a relaxed KCo2Si crystal.

Output
ΔE_f (raw)   0.9789 eV/atom

Cell: 4.6811 4.6811 2.7247 Å, 90.00 90.00 90.00°
Closest atoms and distances in Å follow each position.
Element x y z (fractional)
1 Co 0.0000 0.0000 0.0000  4 Si 2.71, 4 K 2.71, 2 Co 2.72
2 Co 0.5000 0.5000 0.0000  4 K 2.71, 4 Si 2.71, 2 Co 2.72
3 Si 0.0000 0.5000 0.5000  8 Co 2.71, 2 Si 2.72
4 K 0.5000 0.0000 0.5000  8 Co 2.71, 2 K 2.72

=====

(7)
A plane-wave DFT calculation with PBE-GGA was carried out for a relaxed InWBr crystal.

Output
Energy above the lowest structure with this stoichiometry   1.21 eV/f.u.
ΔE_f (raw)   0.9247 eV/atom

Cell: 5.6796 5.6796 5.6796 Å, 149.78 138.06 52.56°
Closest atoms and distances in Å follow each position.
Element x y z (fractional)
1 W 0.6359 0.6359 0.0000  4 Br 2.71, 2 W 2.96
2 In 0.3285 0.3285 0.0000  2 In 2.96, 5 Br 2.98-3.28, 5 W 3.13-3.19
3 Br 0.0356 0.0356 0.0000  4 W 2.71, 2 Br 2.96, 1 In 2.98

=====

(8)
A plane-wave DFT calculation with PBE-GGA was carried out for a relaxed Ba2BeN crystal.

Output
Energy above the lowest structure with this stoichiometry   1.06 eV/f.u.
ΔE_f (raw)   0.6387 eV/atom

Cell: 5.2160 5.2160 5.2160 Å, 60.00 60.00 60.00°
Closest atoms and distances in Å follow each position.
Element x y z (fractional)
1 Ba 0.2500 0.2500 0.2500  4 Be 3.19, 4 N 3.19
2 Ba 0.7500 0.7500 0.7500  4 Be 3.19, 4 N 3.19
3 Be 0.0000 0.0000 0.0000  8 Ba 3.19
4 N 0.5000 0.5000 0.5000  8 Ba 3.19

=====

(9)
A plane-wave DFT calculation with PBE-GGA was carried out for a relaxed Ca2AcMg crystal.

Output
Energy above the lowest structure with this stoichiometry   0.50 eV/f.u.

Cell: 5.9463 5.9463 5.9463 Å, 60.00 60.00 60.00°
Closest atoms and distances in Å follow each position.
Element x y z (fractional)
1 Ca 0.7500 0.7500 0.7500  4 Mg 3.64, 4 Ac 3.64
2 Ca 0.2500 0.2500 0.2500  4 Ac 3.64, 4 Mg 3.64
3 Mg 0.5000 0.5000 0.5000  8 Ca 3.64
4 Ac 0.0000 0.0000 0.0000  8 Ca 3.64

=====

(10)
A plane-wave DFT calculation with PBE-GGA was carried out for a relaxed Ca3Si2Pt3 crystal.

Output
ΔE_f (raw)   -1.0226 eV/atom

Cell: 5.8248 7.7632 14.7048 Å, 90.00 90.00 90.00°
Closest atoms and distances in Å follow each position.
Element x y z (fractional)
1 Si 0.6208 0.6377 0.4003  4 Pt 2.40-2.48
2 Si 0.8792 0.1377 0.0997  4 Pt 2.40-2.48
3 Si 0.6208 0.6377 0.0997  4 Pt 2.40-2.48
4 Si 0.8792 0.1377 0.4003  4 Pt 2.40-2.48
5 Si 0.1208 0.8623 0.5997  4 Pt 2.40-2.48
6 Si 0.3792 0.3623 0.5997  4 Pt 2.40-2.48
7 Si 0.3792 0.3623 0.9003  4 Pt 2.40-2.48
8 Si 0.1208 0.8623 0.9003  4 Pt 2.40-2.48
9 Ca 0.4101 0.6691 0.7500  4 Pt 2.87-3.07, 2 Si 3.16
10 Ca 0.6324 0.0215 0.8921  6 Pt 2.99-3.33, 3 Si 3.03-3.23
11 Ca 0.8676 0.5215 0.6079  6 Pt 2.99-3.33, 3 Si 3.03-3.23
12 Ca 0.8676 0.5215 0.8921  6 Pt 2.99-3.33, 3 Si 3.03-3.23
13 Ca 0.0899 0.1691 0.7500  4 Pt 2.87-3.07, 2 Si 3.16
14 Ca 0.3676 0.9785 0.1079  6 Pt 2.99-3.33, 3 Si 3.03-3.23
15 Ca 0.1324 0.4785 0.1079  6 Pt 2.99-3.33, 3 Si 3.03-3.23
16 Ca 0.9101 0.8309 0.2500  4 Pt 2.87-3.07, 2 Si 3.16
17 Ca 0.1324 0.4785 0.3921  6 Pt 2.99-3.33, 3 Si 3.03-3.23
18 Ca 0.5899 0.3309 0.2500  4 Pt 2.87-3.07, 2 Si 3.16
19 Ca 0.3676 0.9785 0.3921  6 Pt 2.99-3.33, 3 Si 3.03-3.23
20 Ca 0.6324 0.0215 0.6079  6 Pt 2.99-3.33, 3 Si 3.03-3.23
21 Pt 0.1112 0.1557 0.5415  3 Si 2.40-2.48
22 Pt 0.8888 0.8443 0.4585  3 Si 2.40-2.48
23 Pt 0.3888 0.6557 0.9585  3 Si 2.40-2.48
24 Pt 0.9416 0.8159 0.7500  2 Si 2.47
25 Pt 0.6112 0.3443 0.4585  3 Si 2.40-2.48
26 Pt 0.5584 0.3159 0.7500  2 Si 2.47
27 Pt 0.1112 0.1557 0.9585  3 Si 2.40-2.48
28 Pt 0.8888 0.8443 0.0415  3 Si 2.40-2.48
29 Pt 0.0584 0.1841 0.2500  2 Si 2.47
30 Pt 0.6112 0.3443 0.0415  3 Si 2.40-2.48
31 Pt 0.4416 0.6841 0.2500  2 Si 2.47
32 Pt 0.3888 0.6557 0.5415  3 Si 2.40-2.48

=====

(11)
A plane-wave DFT calculation with PBE-GGA was carried out for a relaxed Th3In2Ir3 crystal.

Output
DFT total energy   -7.503 eV per atom

Cell: 6.0417 8.4313 8.4313 Å, 120.00 90.00 90.00°
Closest atoms and distances in Å follow each position.
Element x y z (fractional)
1 Th 0.7500 0.2695 0.0000  5 Ir 2.88-3.17
2 Th 0.7500 0.0000 0.2695  5 Ir 2.88-3.17
3 Th 0.7500 0.7305 0.7305  5 Ir 2.88-3.17
4 Th 0.2500 0.0000 0.7305  5 Ir 2.88-3.17
5 Th 0.2500 0.2695 0.2695  5 Ir 2.88-3.17
6 Th 0.2500 0.7305 0.0000  5 Ir 2.88-3.17
7 In 0.0000 0.6667 0.3333  2 In 3.02, 6 Ir 3.03
8 In 0.0000 0.3333 0.6667  2 In 3.02, 6 Ir 3.03
9 In 0.5000 0.3333 0.6667  2 In 3.02, 6 Ir 3.03
10 In 0.5000 0.6667 0.3333  2 In 3.02, 6 Ir 3.03
11 Ir 0.7500 0.6165 0.0000  5 Th 2.88-3.17, 4 In 3.03
12 Ir 0.7500 0.3835 0.3835  5 Th 2.88-3.17, 4 In 3.03
13 Ir 0.2500 0.0000 0.3835  5 Th 2.88-3.17, 4 In 3.03
14 Ir 0.7500 0.0000 0.6165  5 Th 2.88-3.17, 4 In 3.03
15 Ir 0.2500 0.6165 0.6165  5 Th 2.88-3.17, 4 In 3.03
16 Ir 0.2500 0.3835 0.0000  5 Th 2.88-3.17, 4 In 3.03

=====

(12)
A plane-wave DFT calculation with PBE-GGA was carried out for a relaxed Rb2HfTc crystal.

Output
Energy above the lowest structure with this stoichiometry   4.40 eV/f.u.

Cell: 5.5517 5.5517 5.5517 Å, 60.00 60.00 60.00°
Closest atoms and distances in Å follow each position.
Element x y z (fractional)
1 Hf 0.5000 0.5000 0.5000  8 Rb 3.40
2 Rb 0.7500 0.7500 0.7500  4 Hf 3.40, 4 Tc 3.40
3 Rb 0.2500 0.2500 0.2500  4 Hf 3.40, 4 Tc 3.40
4 Tc 0.0000 0.0000 0.0000  8 Rb 3.40